# K2SiSBr, relaxed, DFT GGA-PBE
data_K2SiSBr
_symmetry_space_group_name_H-M 'P 4/m m m'
_symmetry_Int_Tables_number 123
_symmetry_space_group_name_Hall '-P 4 2'
_cell_length_a 6.4706
_cell_length_b 6.4706
_cell_length_c 4.9078
_cell_angle_alpha 90.00
_cell_angle_beta 90.00
_cell_angle_gamma 90.00
loop_
_atom_site_label
_atom_site_fract_x
_atom_site_fract_y
_atom_site_fract_z
K1 0.0000 0.5000 0.0000
Si1 0.0000 0.0000 0.0000
S1 0.5000 0.5000 0.5000
Br1 0.0000 0.0000 0.5000
# Uncorrected formation energy (kJ/mol of atoms): 7.0
# M_tot (μB/cell): 0.87